[1]
Material: CuC2
Method: DFT, meta-GGA SCAN
State: single point on PBEsol structure

**Crystal system**: trigonal
**Energy relative to the elements**: 276 meV per atom
**Offset from the most stable computed form**: 0 meV per atom

Lattice parameters (Å, degrees): 2.4466 2.4466 19.1824 90.00 90.00 120.00
Space group R-3m (No. 166, hexagonal axes)
Symmetry-distinct sites (fractional):
Cu: 0.0000 0.0000 0.0000
C: 0.0000 0.0000 0.1666

---

[2]
Material: CuC7
Method: DFT, meta-GGA SCAN
State: single point on PBEsol structure

**Crystal system**: cubic
**Energy relative to the elements**: 4067 meV per atom

Lattice parameters (Å, degrees): 6.242 6.242 6.242 90.00 90.00 90.00
Space group Fm-3m (No. 225)
Symmetry-distinct sites (fractional):
Cu: 0.000 0.000 0.000
C: 0.000 0.000 0.500
C: 0.000 0.250 0.250

---

[3]
Material: CuC2
Method: DFT, meta-GGA SCAN
State: single point on PBEsol structure

**Crystal system**: cubic
**Energy relative to the elements**: 2913 meV per atom
**Offset from the most stable computed form**: 2637 meV per atom

Lattice parameters (Å, degrees): 5.815 5.815 5.815 90.00 90.00 90.00
Space group Fd-3m (No. 227, origin choice 2)
Symmetry-distinct sites (fractional):
Cu: 0.125 0.125 0.125
C: 0.000 0.000 0.500

---

[4]
Material: CuC2F
Method: DFT, meta-GGA SCAN
State: single point on PBEsol structure

**Formation energy (no corrections)**: 2.340 eV/atom
**Crystal system**: cubic

Lattice parameters (Å, degrees): 5.153 5.153 5.153 90.00 90.00 90.00
Space group Fm-3m (No. 225)
Symmetry-distinct sites (fractional):
Cu: 0.000 0.000 0.000
C: 0.250 0.250 0.250
F: 0.000 0.000 0.500

---

[5]
Material: Fe2CuC2
Method: DFT, meta-GGA SCAN
State: single point on PBEsol structure

**Crystal system**: tetragonal
**Energy relative to the elements**: 501 meV per atom

Lattice parameters (Å, degrees): 3.365 3.365 7.338 90.00 90.00 90.00
Space group I4/mmm (No. 139)
Symmetry-distinct sites (fractional):
Fe: 0.000 0.500 0.250
Cu: 0.000 0.000 0.000
C: 0.000 0.000 0.395

---

[6]
Material: ZrFe2CuC
Method: DFT, meta-GGA SCAN
State: single point on PBEsol structure

**Crystal system**: tetragonal
**Energy relative to the elements**: 922 meV per atom

Lattice parameters (Å, degrees): 4.410 4.410 3.509 90.00 90.00 90.00
Space group P4/mmm (No. 123)
Symmetry-distinct sites (fractional):
Zr: 0.000 0.000 0.000
Fe: 0.000 0.500 0.500
Cu: 0.500 0.500 0.500
C: 0.500 0.500 0.000

---

[7]
Material: CuGeC3
Method: DFT, meta-GGA SCAN
State: single point on PBEsol structure

**Crystal system**: cubic
**Energy relative to the elements**: 2817 meV per atom

Lattice parameters (Å, degrees): 3.840 3.840 3.840 90.00 90.00 90.00
Space group Pm-3m (No. 221)
Symmetry-distinct sites (fractional):
Cu: 0.000 0.000 0.000
Ge: 0.500 0.500 0.500
C: 0.000 0.000 0.500

---

[8]
Material: CuGe3C
Method: DFT, meta-GGA SCAN
State: single point on PBEsol structure

**Crystal system**: cubic
**Energy relative to the elements**: 1168 meV per atom

Lattice parameters (Å, degrees): 4.262 4.262 4.262 90.00 90.00 90.00
Space group Pm-3m (No. 221)
Symmetry-distinct sites (fractional):
Cu: 0.000 0.000 0.000
Ge: 0.000 0.500 0.500
C: 0.500 0.500 0.500

---

[9]
Material: CuNiGeC2
Method: DFT, meta-GGA SCAN
State: single point on PBEsol structure

**Crystal system**: tetragonal
**Energy relative to the elements**: 2240 meV per atom

Lattice parameters (Å, degrees): 3.812 3.812 4.408 90.00 90.00 90.00
Space group P4/mmm (No. 123)
Symmetry-distinct sites (fractional):
Cu: 0.000 0.000 0.000
Ni: 0.500 0.500 0.000
Ge: 0.500 0.500 0.500
C: 0.000 0.500 0.500

---

[10]
Material: K2CuH8C4O12
Method: DFT, meta-GGA SCAN
State: single point on PBEsol structure

**Crystal system**: monoclinic
**DFT total energy**: -7.73 eV per atom

Lattice parameters (Å, degrees): 3.821 14.309 11.243 90.00 107.15 90.00
Space group P2_1/c (No. 14)
Symmetry-distinct sites (fractional):
K: 0.187 0.139 0.010
Cu: 0.000 0.000 0.500
H: 0.243 0.713 0.844
H: 0.408 0.681 0.981
H: 0.467 0.129 0.751
H: 0.490 0.737 0.709
C: 0.084 0.522 0.248
C: 0.192 0.097 0.322
O: 0.177 0.518 0.363
O: 0.200 0.032 0.675
O: 0.256 0.732 0.931
O: 0.276 0.093 0.442
O: 0.321 0.154 0.263
O: 0.352 0.677 0.707

---

[11]
Material: Li2CuH14C4N6O8
Method: DFT, meta-GGA SCAN
State: single point on PBEsol structure

**Crystal system**: monoclinic
**DFT total energy**: -6.96 eV per atom

Lattice parameters (Å, degrees): 3.447 12.387 13.112 90.00 90.99 90.00
Space group P2_1/c (No. 14)
Symmetry-distinct sites (fractional):
Li: 0.224 0.082 0.364
Cu: 0.500 0.000 0.000
H: 0.030 0.725 0.732
H: 0.133 0.012 0.830
H: 0.187 0.062 0.686
H: 0.256 0.634 0.666
H: 0.258 0.166 0.897
H: 0.277 0.695 0.857
H: 0.311 0.074 0.570
C: 0.185 0.643 0.341
C: 0.499 0.240 0.011
N: 0.246 0.547 0.377
N: 0.310 0.734 0.395
N: 0.453 0.151 0.956
O: 0.010 0.663 0.254
O: 0.070 0.641 0.723
O: 0.272 0.018 0.627
O: 0.377 0.166 0.485

---

Number 1: M_tot 0.00 μB per atom. Number 2: M_tot 0.00 μB per atom. Number 3: M_tot 0.00 μB per atom. Number 4: M_tot 0.00 μB per atom. Number 5: M_tot 0.23 μB per atom. Number 6: M_tot 0.86 μB per atom. Number 7: M_tot 0.00 μB per atom. Number 8: M_tot 0.00 μB per atom. Number 9: M_tot 0.00 μB per atom. Number 10: M_tot 0.04 μB per atom. Number 11: M_tot 0.03 μB per atom.